{"formula": "BePbBr", "functional": "PBE", "state": "optimized geometry", "cell": [[0.000, 3.234, 7.942], [1.665, 0.000, 7.942], [1.665, 3.234, 0.000]], "species": ["Be", "Pb", "Br"], "frac_coords": [[0.000, 0.000, 0.000], [0.357, 0.357, 0.643], [0.591, 0.591, 0.409]], "dos_ef_per_ev_cell": 1.1, "magmom_total_mub_per_atom": 0.0000, "spacegroup": "Fmm2 (42)", "relative_energy_mev_per_atom": 0, "energy_ev_per_atom": -2.999, "e_form_raw_kcal_per_mol_atoms": 0.85}

---

{"formula": "KInC", "functional": "PBE", "state": "optimized geometry", "cell": [[3.246, -4.144, 0.000], [3.246, 4.144, 0.000], [0.000, 0.000, 5.986]], "species": ["K", "K", "In", "In", "C", "C"], "frac_coords": [[0.250, 0.250, 0.000], [0.750, 0.750, 0.000], [0.000, 0.500, 0.500], [0.500, 0.000, 0.500], [0.250, 0.750, 0.725], [0.750, 0.250, 0.275]], "dos_ef_per_ev_cell": 0.0, "magmom_total_mub_per_atom": 0.0000, "spacegroup": "Cmme (67)", "energy_ev_per_atom": -3.401, "e_form_ev_per_atom": 0.9519}

---

Please write out number 2 again, unchanged.
{"formula": "KInC", "functional": "PBE", "state": "optimized geometry", "cell": [[3.246, -4.144, 0.000], [3.246, 4.144, 0.000], [0.000, 0.000, 5.986]], "species": ["K", "K", "In", "In", "C", "C"], "frac_coords": [[0.250, 0.250, 0.000], [0.750, 0.750, 0.000], [0.000, 0.500, 0.500], [0.500, 0.000, 0.500], [0.250, 0.750, 0.725], [0.750, 0.250, 0.275]], "dos_ef_per_ev_cell": 0.0, "magmom_total_mub_per_atom": 0.0000, "spacegroup": "Cmme (67)", "energy_ev_per_atom": -3.401, "e_form_ev_per_atom": 0.9519}

---

Q: What is the formula in the first record?
A: BePbBr